1.
Entry from Alexandria via LeMat-Bulk: Li3Mn5F12 after structural relaxation (GGA+U).

Output
Volume (Å³/f.u.): 270
Space group: No. 230
Total magnetization (μB per cell): 100.7
Theoretical density (g/cm³): 3.2
Total DFT energy (no corrections) (eV/atom): -5.7999

Cell lengths 11.199, 11.199, 11.199 Å; angles 109.47, 109.47, 109.47 degrees
Fractional coordinates of all 80 atoms:
Li  0.125  0.250  0.375
Li  0.125  0.375  0.750
Li  0.250  0.375  0.125
Li  0.250  0.875  0.625
Li  0.375  0.125  0.250
Li  0.375  0.750  0.125
Li  0.625  0.250  0.875
Li  0.625  0.875  0.750
Li  0.750  0.125  0.375
Li  0.750  0.625  0.875
Li  0.875  0.625  0.250
Li  0.875  0.750  0.625
Mn  0.000  0.000  0.000
Mn  0.000  0.000  0.500
Mn  0.000  0.500  0.000
Mn  0.000  0.500  0.500
Mn  0.125  0.750  0.875
Mn  0.125  0.875  0.250
Mn  0.250  0.125  0.875
Mn  0.250  0.625  0.375
Mn  0.375  0.250  0.625
Mn  0.375  0.625  0.750
Mn  0.500  0.000  0.000
Mn  0.500  0.000  0.500
Mn  0.500  0.500  0.000
Mn  0.500  0.500  0.500
Mn  0.625  0.375  0.250
Mn  0.625  0.750  0.375
Mn  0.750  0.375  0.625
Mn  0.750  0.875  0.125
Mn  0.875  0.125  0.750
Mn  0.875  0.250  0.125
F  0.028  0.648  0.201
F  0.028  0.880  0.827
F  0.053  0.173  0.701
F  0.053  0.380  0.352
F  0.120  0.173  0.972
F  0.120  0.447  0.148
F  0.148  0.120  0.447
F  0.148  0.528  0.701
F  0.173  0.701  0.053
F  0.173  0.972  0.120
F  0.201  0.028  0.648
F  0.201  0.673  0.553
F  0.299  0.852  0.472
F  0.299  0.947  0.827
F  0.327  0.380  0.528
F  0.327  0.447  0.799
F  0.352  0.053  0.380
F  0.352  0.799  0.972
F  0.380  0.352  0.053
F  0.380  0.528  0.327
F  0.447  0.148  0.120
F  0.447  0.799  0.327
F  0.472  0.299  0.852
F  0.472  0.673  0.620
F  0.528  0.327  0.380
F  0.528  0.701  0.148
F  0.553  0.201  0.673
F  0.553  0.852  0.880
F  0.620  0.472  0.673
F  0.620  0.648  0.947
F  0.648  0.201  0.028
F  0.648  0.947  0.620
F  0.673  0.553  0.201
F  0.673  0.620  0.472
F  0.701  0.053  0.173
F  0.701  0.148  0.528
F  0.799  0.327  0.447
F  0.799  0.972  0.352
F  0.827  0.028  0.880
F  0.827  0.299  0.947
F  0.852  0.472  0.299
F  0.852  0.880  0.553
F  0.880  0.553  0.852
F  0.880  0.827  0.028
F  0.947  0.620  0.648
F  0.947  0.827  0.299
F  0.972  0.120  0.173
F  0.972  0.352  0.799

---

2.
Entry from Alexandria via LeMat-Bulk: LiMn3F7 after structural relaxation (GGA+U).

Output
Volume (Å³/f.u.): 134
Space group: No. 20
Total magnetization (μB per cell): 30.0
Theoretical density (g/cm³): 3.8
Total DFT energy (no corrections) (eV/atom): -6.0681

Cell lengths 6.301, 6.301, 7.096 Å; angles 90.00, 90.00, 108.01 degrees
Fractional coordinates of all 22 atoms:
Li  0.001  0.001  0.000
Li  0.999  0.999  0.500
Mn  0.004  0.544  0.750
Mn  0.456  0.996  0.750
Mn  0.500  0.500  0.000
Mn  0.500  0.500  0.500
Mn  0.544  0.004  0.250
Mn  0.996  0.456  0.250
F  0.094  0.906  0.750
F  0.105  0.356  0.527
F  0.106  0.357  0.973
F  0.356  0.105  0.473
F  0.357  0.106  0.027
F  0.362  0.638  0.250
F  0.373  0.627  0.750
F  0.627  0.373  0.250
F  0.638  0.362  0.750
F  0.643  0.894  0.527
F  0.644  0.895  0.973
F  0.894  0.643  0.473
F  0.895  0.644  0.027
F  0.906  0.094  0.250